Material: TbCuPt4
Method: DFT, GGA-PBE
State: relaxed

Calculated values
E_tot   -72.94 eV per cell
Relative energy among the computed polymorphs   38 meV per atom
V   206.3 Å³ per cell
Space-group type   Cmcm (63)

abc: 3.780 6.995 8.027
angles: 90.00 103.62 90.00
Atoms (fractional coordinates):
Pt (0.500, 0.500, 0.000)
Pt (0.325, 0.448, 0.650)
Tb (0.891, 0.750, 0.782)
Pt (0.675, 0.948, 0.350)
Pt (0.500, 0.000, 0.000)
Tb (0.109, 0.250, 0.218)
Pt (0.675, 0.552, 0.350)
Pt (0.926, 0.250, 0.852)
Cu (0.757, 0.250, 0.515)
Cu (0.243, 0.750, 0.485)
Pt (0.325, 0.052, 0.650)
Pt (0.074, 0.750, 0.148)